# Pr8Ga3TcI4 | the Alexandria database | PBE-GGA | relaxed
data_Pr8Ga3TcI4
_space_group_name_H-M_alt 'P 1'
_space_group_IT_number 1
_space_group_name_Hall 'P 1'
_cell_length_a 8.743
_cell_length_b 9.390
_cell_length_c 8.741
_cell_angle_alpha 117.73
_cell_angle_beta 120.01
_cell_angle_gamma 90.00
loop_
_atom_site_label
_atom_site_fract_x
_atom_site_fract_y
_atom_site_fract_z
I1 0.500 0.000 0.000
I2 0.000 0.000 0.000
I3 0.000 0.000 0.500
I4 0.500 0.000 0.500
Pr1 0.750 0.695 0.972
Pr2 0.250 0.305 0.028
Pr3 0.262 0.286 0.524
Pr4 0.777 0.305 0.555
Pr5 0.777 0.305 0.028
Pr6 0.223 0.695 0.972
Pr7 0.223 0.695 0.445
Pr8 0.738 0.714 0.476
Ga1 0.500 0.500 0.500
Ga2 0.000 0.500 0.500
Ga3 0.500 0.500 0.000
Tc1 0.000 0.500 0.000
# uncorrected formation energy	-64.8	kJ/mol of atoms

***

# Pr6Ga2TeI3 | the Alexandria database | PBE-GGA | relaxed
data_Pr6Ga2TeI3
_space_group_name_H-M_alt 'P 1'
_space_group_IT_number 1
_space_group_name_Hall 'P 1'
_cell_length_a 7.755
_cell_length_b 7.755
_cell_length_c 8.082
_cell_angle_alpha 99.20
_cell_angle_beta 99.20
_cell_angle_gamma 119.95
loop_
_atom_site_label
_atom_site_fract_x
_atom_site_fract_y
_atom_site_fract_z
Pr1 0.716 0.716 0.206
Pr2 0.929 0.579 0.790
Pr3 0.284 0.284 0.794
Pr4 0.579 0.929 0.790
Pr5 0.421 0.071 0.210
Pr6 0.071 0.421 0.210
Te1 0.000 0.000 0.000
I1 0.838 0.162 0.500
I2 0.162 0.838 0.500
I3 0.500 0.500 0.500
Ga1 0.668 0.332 0.000
Ga2 0.332 0.668 0.000
# uncorrected formation energy	-91.3	kJ/mol of atoms

***

# Pr4GaTe2I | the Alexandria database | PBE-GGA | relaxed
data_Pr4GaTe2I
_space_group_name_H-M_alt 'P 1'
_space_group_IT_number 1
_space_group_name_Hall 'P 1'
_cell_length_a 4.462
_cell_length_b 7.936
_cell_length_c 7.761
_cell_angle_alpha 108.74
_cell_angle_beta 90.00
_cell_angle_gamma 90.00
loop_
_atom_site_label
_atom_site_fract_x
_atom_site_fract_y
_atom_site_fract_z
Pr1 0.500 0.277 0.248
Pr2 0.000 0.275 0.766
Pr3 0.000 0.725 0.234
Pr4 0.500 0.723 0.752
I1 0.000 0.000 0.000
Ga1 0.500 0.500 0.000
Te1 0.000 0.500 0.500
Te2 0.500 0.000 0.500
# uncorrected formation energy	-107.6	kJ/mol of atoms

***

# Pr8GaTe3I4 | the Alexandria database | PBE-GGA | relaxed
data_Pr8GaTe3I4
_space_group_name_H-M_alt 'P 1'
_space_group_IT_number 1
_space_group_name_Hall 'P 1'
_cell_length_a 9.132
_cell_length_b 9.185
_cell_length_c 9.120
_cell_angle_alpha 119.69
_cell_angle_beta 120.04
_cell_angle_gamma 90.00
loop_
_atom_site_label
_atom_site_fract_x
_atom_site_fract_y
_atom_site_fract_z
Pr1 0.241 0.291 0.016
Pr2 0.738 0.715 0.477
Pr3 0.775 0.291 0.550
Pr4 0.775 0.291 0.016
Pr5 0.225 0.709 0.984
Pr6 0.262 0.285 0.523
Pr7 0.225 0.709 0.450
Pr8 0.759 0.709 0.984
I1 0.000 0.000 0.000
I2 0.500 0.000 0.000
I3 0.500 0.000 0.500
I4 0.000 0.000 0.500
Te1 0.500 0.500 0.500
Te2 0.000 0.500 0.500
Te3 0.500 0.500 0.000
Ga1 0.000 0.500 0.000
# uncorrected formation energy	-103.7	kJ/mol of atoms

***

no.,uncorrected energy (eV per cell),total moment (μB/atom)
1,-74.6,0.00
2,-53.9,0.00
3,-38.9,0.00
4,-74.1,0.00